Record 1
This record from Alexandria describes a relaxed YHoMgGa crystal. The functional is GGA-PBE.

Lattice parameters (Å, degrees): 7.2917 7.2917 7.2917 90.00 90.00 90.00
With the nearest neighbours (Å) after each atom.
Space group F-43m (No. 216)
Asymmetric unit:
Y1 0.0000 0.0000 0.0000  4 Mg 3.16, 4 Ga 3.16
Ho1 0.0000 0.0000 0.5000  4 Mg 3.16, 4 Ga 3.16
Mg1 0.2500 0.2500 0.7500  4 Ho 3.16, 4 Y 3.16
Ga1 0.2500 0.2500 0.2500  4 Ho 3.16, 4 Y 3.16

Results
Total energy, eV per formula unit: -17.069

Record 2
This record from Alexandria describes a relaxed Dy2PPt3 crystal. The functional is GGA-PBE.

Lattice parameters (Å, degrees): 3.7211 4.2595 7.5410 90.00 90.00 90.00
With the nearest neighbours (Å) after each atom.
Space group Pmm2 (No. 25)
Asymmetric unit:
Dy1 0.0000 0.0000 0.0000  8 Pt 2.97-3.11, 4 P 3.17
Dy2 0.0000 0.5000 0.4885  2 P 3.05, 10 Pt 3.07-3.35
P1 0.5000 0.5000 0.8088  3 Pt 2.32-2.34
Pt1 0.5000 0.0000 0.3306  3 Pt 2.66-2.69
Pt2 0.5000 0.0000 0.6872  2 P 2.32
Pt3 0.5000 0.5000 0.1191  1 P 2.34

Results
Total energy, eV per formula unit: -39.840
ΔE to the lowest computed polymorph, kJ/mol of atoms: 0.5

Record 3
This record from Alexandria describes a relaxed YNbSeBr2 crystal. The functional is GGA-PBE.

Lattice parameters (Å, degrees): 5.1538 5.1538 5.1468 90.00 90.00 90.00
With the nearest neighbours (Å) after each atom.
Space group P4/mmm (No. 123)
Asymmetric unit:
Y1 0.0000 0.0000 0.0000  8 Br 3.64, 4 Se 3.64
Nb1 0.5000 0.5000 0.5000  2 Se 2.57, 4 Br 2.58
Se1 0.5000 0.5000 0.0000  2 Nb 2.57
Br1 0.0000 0.5000 0.5000  2 Nb 2.58

Results
Total energy, eV per formula unit: -24.637
Formation energy without anion corrections, eV per atom: -0.2546
ΔE to the lowest computed polymorph, kJ/mol of atoms: 0.0

Record 4
This record from Alexandria describes a relaxed KRuSe2 crystal. The functional is GGA-PBE.

Lattice parameters (Å, degrees): 3.0907 3.8168 7.6088 90.00 90.00 90.00
With the nearest neighbours (Å) after each atom.
Space group Pmmm (No. 47)
Asymmetric unit:
K1 0.0000 0.0000 0.0000  2 K 3.09, 8 Se 3.32
Ru1 0.5000 0.0000 0.5000  4 Se 2.47
Se1 0.5000 0.5000 0.2945  2 Ru 2.47

Results
Total energy, eV per formula unit: -18.490
Formation energy without anion corrections, eV per atom: -0.2869

Record 5
This record from Alexandria describes a relaxed BaTcRh4 crystal. The functional is GGA-PBE.

Lattice parameters (Å, degrees): 7.5835 7.5835 7.5835 90.00 90.00 90.00
With the nearest neighbours (Å) after each atom.
Space group F-43m (No. 216)
Asymmetric unit:
Ba1 0.0000 0.0000 0.0000  12 Rh 3.15, 4 Tc 3.28
Tc1 0.2500 0.2500 0.2500  12 Rh 3.14, 4 Ba 3.28
Rh1 0.1238 0.1238 0.6238  6 Rh 2.65-2.71

Results
Total energy, eV per formula unit: -38.936

Record 6
This record from Alexandria describes a relaxed Tb4Tl2InHg crystal. The functional is GGA-PBE.

Lattice parameters (Å, degrees): 5.3512 5.3512 26.1912 90.00 90.00 120.00
With the nearest neighbours (Å) after each atom.
Space group R-3m (No. 166, hexagonal axes)
Asymmetric unit:
Tb1 0.0000 0.0000 0.1240  1 Hg 3.25, 4 Tl 3.27-3.32, 3 In 3.29
Tb2 0.0000 0.0000 0.3741  4 Tl 3.23-3.28, 3 Hg 3.27, 1 In 3.30
Tl1 0.0000 0.0000 0.2507  8 Tb 3.23-3.32
In1 0.0000 0.0000 0.5000  8 Tb 3.29-3.30
Hg1 0.0000 0.0000 0.0000  8 Tb 3.25-3.27

Results
Total energy, eV per formula unit: -29.593